[1]
! ThSiH | Alexandria via LeMat-Bulk | PBE | optimized geometry; values from VASP
! **Relative energy among the computed polymorphs**: 298 meV per atom
! **Density of states at the Fermi level**: 0.936 states/eV per atom
! **E**: -17.27 eV per formula unit
! **Total magnetic moment**: 0.00 μB per formula unit
&SYSTEM
  ibrav = 0, nat = 3, ntyp = 3
/
ATOMIC_SPECIES
H 1.01 H.upf
Si 28.09 Si.upf
Th 232.04 Th.upf
ATOMIC_POSITIONS angstrom
H 0.1952 -2.3686 0.2116
Si -2.7916 -2.2201 -0.6354
Th -0.3612 -0.2863 -0.5322
CELL_PARAMETERS angstrom
-2.1665 -1.7172 -3.1919
2.4591 -3.0902 -0.0066
-3.2502 -0.0676 2.2424

---

[2]
! Ti6Si3H | Alexandria via LeMat-Bulk | PBE | optimized geometry; values from VASP
! **Density of states at the Fermi level**: 0.851 states/eV per atom
! **E**: -71.57 eV per formula unit
! **Total magnetic moment**: 0.00 μB per formula unit
&SYSTEM
  ibrav = 0, nat = 10, ntyp = 3
/
ATOMIC_SPECIES
Ti 47.87 Ti.upf
Si 28.09 Si.upf
H 1.01 H.upf
ATOMIC_POSITIONS angstrom
Ti 3.6381 1.3900 2.5471
Ti 6.1775 2.4656 3.3069
Ti 6.1775 3.9408 1.2187
Ti 3.6381 2.8652 0.4589
Ti 3.0630 4.2510 3.0030
Ti 6.7526 1.0798 0.7628
Si 2.2222 0.7047 0.4978
Si 7.5934 4.6261 3.2680
Si 0.0000 0.0000 0.0000
H 4.9078 2.6654 1.8829
CELL_PARAMETERS angstrom
6.0142 -1.4042 -0.9920
1.9007 4.8373 0.2983
1.9007 1.8978 4.4595